# 1
## CrCo2H (PBEsol)

Data for an optimized crystal structure of CrCo2H.

Lattice parameters (Å, degrees): 5.6436 5.6436 4.2672 90.00 90.00 90.00
Space group I-42d (No. 122)
Unique sites:
Cr1 0.0000 0.0000 0.0000
Co1 0.1478 0.2500 0.6250
H1 0.0000 0.0000 0.5000

energy: -7.044 eV per atom
ρ: 8.351 g/cm³

# 2
## Zr2Ti3Pb5O15 (PBEsol)

Data for an optimized crystal structure of Zr2Ti3Pb5O15.

Lattice parameters (Å, degrees): 3.9810 19.7338 4.2739 90.00 90.00 90.00
Space group Pmm2 (No. 25)
Unique sites:
Zr1 0.0000 0.1049 0.0000
Ti1 0.0000 0.3066 0.9900
Ti2 0.0000 0.5000 0.9906
Pb1 0.5000 0.0000 0.4425
Pb2 0.5000 0.2097 0.4426
Pb3 0.5000 0.4034 0.4439
O1 0.0000 0.0000 0.0734
O2 0.0000 0.1040 0.5395
O3 0.0000 0.2106 0.0823
O4 0.0000 0.3062 0.5768
O5 0.0000 0.4034 0.0861
O6 0.0000 0.5000 0.5779
O7 0.5000 0.1051 0.0945
O8 0.5000 0.3064 0.0744
O9 0.5000 0.5000 0.0734

energy: -8.062 eV per atom
ρ: 7.923 g/cm³
formation energy (no corrections): -2.3870 eV per atom

# 3
## TePtAu (PBEsol)

Data for an optimized crystal structure of TePtAu.

Lattice parameters (Å, degrees): 6.3598 6.3598 6.3598 90.00 90.00 90.00
Space group F-43m (No. 216)
Unique sites:
Te1 0.0000 0.0000 0.0000
Pt1 0.2500 0.2500 0.7500
Au1 0.2500 0.2500 0.2500

energy: -4.577 eV per atom
ρ: 13.418 g/cm³
formation energy (no corrections): 0.2277 eV per atom
excess energy over the best structure of this formula in the dataset: 247 meV per atom

# 4
## Y2NiCl (PBEsol)

Data for an optimized crystal structure of Y2NiCl.

Lattice parameters (Å, degrees): 3.8175 3.8175 21.1277 90.00 90.00 120.00
Space group R-3m (No. 166, hexagonal axes)
Unique sites:
Y1 0.0000 0.0000 0.2368
Ni1 0.0000 0.0000 0.5000
Cl1 0.0000 0.0000 0.0000

energy: -6.381 eV per atom
ρ: 5.081 g/cm³
formation energy (no corrections): -0.9288 eV per atom
excess energy over the best structure of this formula in the dataset: 0 meV per atom

| no. | total magnetic moment (μB per atom) | density of states at the Fermi level (states/eV per cell) |
| --- | --- | --- |
| 1 | 0.06 | 19.31 |
| 2 | 0.00 | 0.00 |
| 3 | 0.00 | 4.56 |
| 4 | 0.00 | 10.70 |